1.
## Sm3Tm2Th2 (PBE)

Data for an optimized crystal structure of Sm3Tm2Th2.

Computed properties:
Uncorrected energy, eV for the cell shown: -37.69
Calculated density, Mg/m³: 9.2
DFT formation energy, eV per atom: 0.04
Total moment, μB per formula unit: 0.0
Relative energy among the computed polymorphs, eV per atom: 0.0000

abc: 3.595 11.311 6.148
angles: 79.65 72.97 71.46
Atoms (fractional coordinates):
Sm 0.000 0.000 0.000
Sm 0.566 0.576 0.716
Sm 0.434 0.424 0.284
Th 0.142 0.141 0.434
Th 0.858 0.859 0.566
Tm 0.290 0.283 0.853
Tm 0.710 0.717 0.147


2.
## SrMo2Au (PBE)

Data for an optimized crystal structure of SrMo2Au.

Computed properties:
Uncorrected energy, eV for the cell shown: -23.87
Calculated density, Mg/m³: 8.3
DFT formation energy, eV per atom: 0.69
Total moment, μB per formula unit: 0.0
Relative energy among the computed polymorphs, eV per atom: 0.4111

abc: 3.462 3.987 6.884
angles: 90.00 90.00 90.00
Atoms (fractional coordinates):
Sr 0.500 0.500 0.250
Mo 0.000 0.000 0.594
Mo 0.000 0.000 0.906
Au 0.500 0.500 0.750


3.
## Sr2LiZn4Ag3 (PBE)

Data for an optimized crystal structure of Sr2LiZn4Ag3.

Computed properties:
Uncorrected energy, eV for the cell shown: -20.97
Calculated density, Mg/m³: 5.7
DFT formation energy, eV per atom: -0.20
Total moment, μB per formula unit: 0.0

abc: 4.526 4.526 10.949
angles: 90.00 90.00 90.00
Atoms (fractional coordinates):
Li 0.500 0.500 0.500
Ag 0.000 0.500 0.133
Ag 0.500 0.000 0.867
Ag 0.000 0.000 0.500
Sr 0.000 0.500 0.754
Sr 0.500 0.000 0.246
Zn 0.000 0.500 0.373
Zn 0.500 0.500 0.000
Zn 0.000 0.000 0.000
Zn 0.500 0.000 0.627


4.
## Pu2GaCo3Ge4 (PBE)

Data for an optimized crystal structure of Pu2GaCo3Ge4.

Computed properties:
Uncorrected energy, eV for the cell shown: -75.02
Calculated density, Mg/m³: 10.2
DFT formation energy, eV per atom: -0.35
Total moment, μB per formula unit: 9.0

abc: 4.076 4.076 10.046
angles: 90.00 90.00 90.00
Atoms (fractional coordinates):
Co 0.500 0.000 0.879
Co 0.000 0.000 0.500
Co 0.000 0.500 0.121
Ga 0.500 0.500 0.500
Pu 0.500 0.000 0.240
Pu 0.000 0.500 0.760
Ge 0.500 0.000 0.649
Ge 0.500 0.500 0.000
Ge 0.000 0.000 0.000
Ge 0.000 0.500 0.351


5.
## Hf2ZnBi (PBE)

Data for an optimized crystal structure of Hf2ZnBi.

Computed properties:
Uncorrected energy, eV for the cell shown: -24.16
Calculated density, Mg/m³: 11.2
DFT formation energy, eV per atom: 0.23
Total moment, μB per formula unit: 0.0
Relative energy among the computed polymorphs, eV per atom: 0.2461

abc: 3.774 3.774 7.893
angles: 76.17 76.17 60.00
Atoms (fractional coordinates):
Hf 0.243 0.243 0.271
Hf 0.090 0.090 0.729
Bi 0.668 0.668 0.997
Zn 0.499 0.499 0.504


6.
## CsSr2LaIr (PBE)

Data for an optimized crystal structure of CsSr2LaIr.

Computed properties:
Uncorrected energy, eV for the cell shown: -18.54
Calculated density, Mg/m³: 4.8
DFT formation energy, eV per atom: -0.11
Total moment, μB per formula unit: 0.0

abc: 6.311 6.311 5.546
angles: 90.00 90.00 90.00
Atoms (fractional coordinates):
La 0.000 0.000 0.500
Cs 0.500 0.500 0.500
Ir 0.000 0.000 0.000
Sr 0.000 0.500 0.000
Sr 0.500 0.000 0.000


7.
## PmHfCu4 (PBE)

Data for an optimized crystal structure of PmHfCu4.

Computed properties:
Uncorrected energy, eV for the cell shown: -31.21
Calculated density, Mg/m³: 9.8
DFT formation energy, eV per atom: -0.02
Total moment, μB per formula unit: 0.0

abc: 5.181 5.181 5.181
angles: 60.00 60.00 60.00
Atoms (fractional coordinates):
Pm 0.000 0.000 0.000
Cu 0.624 0.128 0.624
Cu 0.624 0.624 0.624
Cu 0.128 0.624 0.624
Cu 0.624 0.624 0.128
Hf 0.250 0.250 0.250


8.
## Cs2Hg2F5 (PBE)

Data for an optimized crystal structure of Cs2Hg2F5.

Computed properties:
Raw formation energy, kJ per mole of atoms: -182.1
Uncorrected energy, eV for the cell shown: -28.65
Calculated density, Mg/m³: 6.1
Total moment, μB per formula unit: 0.0

abc: 4.749 4.749 9.154
angles: 90.00 90.00 90.00
Atoms (fractional coordinates):
Hg 0.537 0.537 0.760
Hg 0.537 0.537 0.240
F 0.537 0.537 0.500
F 0.037 0.537 0.220
F 0.037 0.537 0.780
F 0.537 0.037 0.220
F 0.537 0.037 0.780
Cs 0.037 0.037 0.500
Cs 0.037 0.037 0.000